Entry from Alexandria: a geometry-optimized Ba2MnIr3O12 structure (PBE+U).

Magnetization ... 1.98 μB/cell
SG ... R-3m, No. 166
V ... 252 Å³ per cell
Electronic total energy ... -120.67 eV/f.u.

a = 7.032 Å, b = 7.032 Å, c = 7.032 Å
α = 61.12°, β = 61.12°, γ = 61.12°
Positions (direct):
Ba  0.128  0.128  0.128
Ba  0.872  0.872  0.872
Mn  0.500  0.500  0.500
Ir  0.000  0.500  0.500
Ir  0.500  0.000  0.500
Ir  0.500  0.500  0.000
O  0.171  0.171  0.584
O  0.171  0.584  0.171
O  0.172  0.580  0.580
O  0.416  0.829  0.829
O  0.420  0.420  0.828
O  0.420  0.828  0.420
O  0.580  0.172  0.580
O  0.580  0.580  0.172
O  0.584  0.171  0.171
O  0.828  0.420  0.420
O  0.829  0.416  0.829
O  0.829  0.829  0.416